This record from Alexandria via LeMat-Bulk describes a relaxed structure of NdPaIr2. The functional is PBE.

Unit cell a=3.505 b=3.505 c=7.175 alpha=90.00 beta=90.00 gamma=90.00
Fractional positions:
Ir 0.000 0.000 0.208
Ir 0.000 0.000 0.792
Nd 0.500 0.500 0.500
Pa 0.500 0.500 0.000

Formation enthalpy at 0 K, meV/atom: -707
Excess energy over the best structure of this formula in the dataset, meV/atom: 131
Space group: P4/mmm, No. 123


This record from Alexandria via LeMat-Bulk describes a relaxed structure of NdPaIr4. The functional is PBE.

Unit cell a=5.397 b=5.397 c=5.397 alpha=60.00 beta=60.00 gamma=60.00
Fractional positions:
Ir 0.125 0.625 0.625
Ir 0.625 0.625 0.125
Ir 0.625 0.125 0.625
Ir 0.625 0.625 0.625
Nd 0.250 0.250 0.250
Pa 0.000 0.000 0.000

Formation enthalpy at 0 K, meV/atom: -706
Space group: F-43m, No. 216


This record from Alexandria via LeMat-Bulk describes a relaxed structure of Nd2PaIr2. The functional is PBE.

Unit cell a=6.440 b=6.440 c=7.354 alpha=80.34 beta=80.34 gamma=58.66
Fractional positions:
Nd 0.466 0.234 0.145
Nd 0.766 0.534 0.355
Nd 0.234 0.466 0.645
Nd 0.534 0.766 0.855
Ir 0.997 0.293 0.989
Ir 0.003 0.707 0.011
Ir 0.293 0.997 0.489
Ir 0.707 0.003 0.511
Pa 0.916 0.084 0.750
Pa 0.084 0.916 0.250

Formation enthalpy at 0 K, meV/atom: -707
Space group: C2/c, No. 15


This record from Alexandria via LeMat-Bulk describes a relaxed structure of NdPaIr2. The functional is PBE.

Unit cell a=4.330 b=5.758 c=7.653 alpha=90.00 beta=90.00 gamma=90.00
Fractional positions:
Ir 0.750 0.502 0.773
Ir 0.250 0.498 0.227
Ir 0.250 0.002 0.227
Ir 0.750 0.998 0.773
Nd 0.750 0.750 0.419
Nd 0.250 0.250 0.581
Pa 0.750 0.250 0.082
Pa 0.250 0.750 0.918

Formation enthalpy at 0 K, meV/atom: -838
Excess energy over the best structure of this formula in the dataset, meV/atom: 0
Space group: Pmmn, No. 59


This record from Alexandria via LeMat-Bulk describes a relaxed structure of Nd3Pa2Ir4. The functional is PBE.

Unit cell a=3.958 b=6.281 c=9.559 alpha=98.35 beta=90.00 gamma=108.36
Fractional positions:
Ir 0.079 0.157 0.623
Ir 0.689 0.378 0.080
Ir 0.311 0.622 0.920
Ir 0.921 0.843 0.377
Nd 0.000 0.000 0.000
Nd 0.623 0.246 0.383
Nd 0.377 0.754 0.617
Pa 0.683 0.366 0.782
Pa 0.317 0.634 0.218

Formation enthalpy at 0 K, meV/atom: -694
Space group: C2/m, No. 12


This record from Alexandria via LeMat-Bulk describes a relaxed structure of NdPaIrPt. The functional is PBE.

Unit cell a=3.780 b=4.193 c=6.161 alpha=90.00 beta=107.87 gamma=90.00
Fractional positions:
Ir 0.399 0.000 0.798
Nd 0.147 0.000 0.294
Pa 0.876 0.500 0.752
Pt 0.578 0.500 0.155

Formation enthalpy at 0 K, meV/atom: -951
Space group: Amm2, No. 38


This record from Alexandria via LeMat-Bulk describes a relaxed structure of Nd2PuPaIr2. The functional is PBE.

Unit cell a=6.909 b=7.044 c=8.290 alpha=115.14 beta=114.63 gamma=90.00
Each line ends with the local moment (μB).
Fractional positions:
Pa 0.500 0.750 0.000  0.23
Pa 0.500 0.250 0.000  0.23
Nd 0.572 0.814 0.629  0.05
Nd 0.428 0.186 0.371  0.05
Nd 0.943 0.686 0.371  0.05
Nd 0.057 0.314 0.629  0.05
Ir 0.829 0.097 0.194  -0.07
Ir 0.171 0.903 0.806  -0.07
Ir 0.364 0.597 0.194  -0.07
Ir 0.636 0.403 0.806  -0.07
Pu 0.000 0.250 0.000  5.09
Pu 0.000 0.750 0.000  5.09

Formation enthalpy at 0 K, meV/atom: -433
Space group: Ibam, No. 72


This record from Alexandria via LeMat-Bulk describes a relaxed structure of NdPaSi2Ir5. The functional is PBE.

Unit cell a=4.040 b=4.040 c=11.163 alpha=90.00 beta=90.00 gamma=90.00
Fractional positions:
Ir 0.000 0.500 0.178
Ir 0.500 0.000 0.178
Ir 0.000 0.500 0.822
Ir 0.500 0.000 0.822
Ir 0.500 0.500 0.500
Si 0.500 0.500 0.710
Si 0.500 0.500 0.290
Pa 0.000 0.000 0.000
Nd 0.000 0.000 0.500

Space group: P4/mmm, No. 123
Raw formation energy, kJ/mol of atoms: -63.03


This record from Alexandria via LeMat-Bulk describes a relaxed structure of Nd2PaSi3Ir4. The functional is PBE.

Unit cell a=4.215 b=4.215 c=10.817 alpha=90.00 beta=90.00 gamma=90.00
Fractional positions:
Ir 0.500 0.000 0.655
Ir 0.500 0.500 0.000
Ir 0.000 0.500 0.345
Ir 0.000 0.000 0.000
Si 0.500 0.000 0.881
Si 0.000 0.500 0.119
Si 0.000 0.000 0.500
Nd 0.000 0.500 0.773
Nd 0.500 0.000 0.227
Pa 0.500 0.500 0.500

Space group: P-4m2, No. 115
Raw formation energy, kJ/mol of atoms: -88.57


This record from Alexandria via LeMat-Bulk describes a relaxed structure of Nd5Ir2Pb. The functional is PBE.

Unit cell a=8.040 b=8.040 c=9.052 alpha=116.37 beta=116.37 gamma=90.00
Fractional positions:
Nd 0.000 0.000 0.000
Nd 0.208 0.028 0.736
Nd 0.528 0.708 0.736
Nd 0.972 0.472 0.264
Nd 0.472 0.292 0.264
Nd 0.500 0.500 0.000
Nd 0.028 0.528 0.736
Nd 0.792 0.972 0.264
Nd 0.292 0.792 0.264
Nd 0.708 0.208 0.736
Pb 0.250 0.250 0.500
Pb 0.750 0.750 0.500
Ir 0.361 0.861 0.000
Ir 0.139 0.361 0.000
Ir 0.861 0.639 0.000
Ir 0.639 0.139 0.000

Formation enthalpy at 0 K, meV/atom: -591
Space group: I4/mcm, No. 140


This record from Alexandria via LeMat-Bulk describes a relaxed structure of Nd3IrPb2. The functional is PBE.

Unit cell a=4.516 b=12.137 c=12.949 alpha=90.00 beta=90.00 gamma=90.00
Fractional positions:
Nd 0.750 0.542 0.618
Nd 0.750 0.868 0.446
Nd 0.250 0.792 0.745
Nd 0.750 0.632 0.946
Nd 0.250 0.708 0.245
Nd 0.250 0.458 0.382
Nd 0.750 0.958 0.118
Nd 0.750 0.208 0.255
Nd 0.750 0.292 0.755
Nd 0.250 0.368 0.054
Nd 0.250 0.042 0.882
Nd 0.250 0.132 0.554
Pb 0.250 0.695 0.506
Pb 0.250 0.499 0.813
Pb 0.250 0.805 0.006
Pb 0.750 0.999 0.687
Pb 0.750 0.305 0.494
Pb 0.750 0.501 0.187
Pb 0.750 0.195 0.994
Pb 0.250 0.001 0.313
Ir 0.250 0.369 0.626
Ir 0.750 0.869 0.874
Ir 0.750 0.631 0.374
Ir 0.250 0.131 0.126

Formation enthalpy at 0 K, meV/atom: -588
Excess energy over the best structure of this formula in the dataset, meV/atom: 0
Space group: Pnma, No. 62


This record from Alexandria via LeMat-Bulk describes a relaxed structure of Nd6IrPb2. The functional is PBE.

Unit cell a=6.488 b=8.644 c=10.519 alpha=90.00 beta=90.73 gamma=90.00
Fractional positions:
Ir 0.500 0.500 0.000
Ir 0.000 0.000 0.500
Pb 0.918 0.387 0.744
Pb 0.418 0.113 0.244
Pb 0.082 0.613 0.256
Pb 0.582 0.887 0.756
Nd 0.634 0.187 0.950
Nd 0.132 0.327 0.049
Nd 0.391 0.528 0.744
Nd 0.632 0.173 0.549
Nd 0.368 0.827 0.451
Nd 0.891 0.972 0.244
Nd 0.134 0.313 0.450
Nd 0.868 0.673 0.951
Nd 0.866 0.687 0.550
Nd 0.366 0.813 0.050
Nd 0.109 0.028 0.756
Nd 0.609 0.472 0.256

Formation enthalpy at 0 K, meV/atom: -410
Space group: P2_1/c, No. 14